1.
RbHfRh2Cl | the Alexandria database | GGA-PBE | relaxed; SG = P4/mmm, No. 123; formation energy (no corrections) = 0.700 eV/atom
1.0
-4.613 -1.175 -0.620
1.167 -2.623 -3.714
0.584 -3.804 2.869
Rh Hf Rb Cl
2 1 1 1
Direct
0.000 0.000 0.500 Rh
0.500 0.000 0.000 Rh
0.000 0.500 0.000 Hf
0.500 0.500 0.500 Rb
0.000 0.000 0.000 Cl

***

2.
K2TlMo | the Alexandria database | GGA-PBE | relaxed; ΔE_f = 4.190 eV/f.u.; SG = C2/m, No. 12
1.0
-3.429 1.955 -6.099
-2.525 -5.160 2.919
-3.290 1.696 0.047
K Mo Tl
2 1 1
Direct
0.000 0.000 0.000 K
0.500 0.000 0.500 K
0.000 0.500 0.500 Mo
0.500 0.500 0.000 Tl

***

Number 1: raw total energy -23.97 eV/cell. Number 2: raw total energy -11.20 eV/cell.